[1]
BaNaLiCl4 | the Alexandria database | GGA-PBE | optimized geometry; formation energy without anion corrections = -199 kJ per mole of atoms; calculated volume = 382.6 Å³ per cell; E = -3.85 eV per atom
1.0
6.826 0.000 0.000
0.000 7.031 0.000
-2.430 0.000 7.973
Ba Na Li Cl
2 2 2 8
Cartesian
1.529 1.758 0.500
2.867 5.273 7.473
0.124 1.758 4.407
4.272 5.273 3.566
0.883 5.273 2.592
3.514 1.758 5.381
5.014 0.023 5.945
5.014 3.493 5.945
-0.618 3.538 2.027
-0.618 7.009 2.027
2.629 5.273 1.018
1.745 5.273 4.703
2.651 1.758 3.269
1.767 1.758 6.955


[2]
BaLiNdCl6 | the Alexandria database | GGA-PBE | optimized geometry; formation energy without anion corrections = -216 kJ per mole of atoms; calculated volume = 563.5 Å³ per cell; E = -4.43 eV per atom
1.0
6.950 0.000 0.000
-3.475 6.019 0.000
0.000 0.000 13.471
Ba Li Nd Cl
2 2 2 12
Cartesian
0.000 0.000 0.000
0.000 0.000 6.736
0.000 4.012 3.368
3.475 2.006 10.104
0.000 4.012 10.104
3.475 2.006 3.368
-1.192 2.217 1.846
-2.151 3.877 4.890
1.192 2.217 4.890
-0.958 5.942 1.846
2.516 0.076 8.582
1.324 2.141 11.625
2.151 3.877 1.846
0.958 5.942 4.890
4.433 0.076 11.625
2.283 3.801 8.582
5.625 2.141 8.582
4.667 3.801 11.625


[3]
BaLiNi2Cl8 | the Alexandria database | GGA-PBE | optimized geometry; formation energy without anion corrections = -110 kJ per mole of atoms; calculated volume = 310.2 Å³ per cell; E = -3.66 eV per atom
1.0
6.384 0.000 0.000
-3.192 5.529 0.000
0.000 0.000 8.787
Ba Li Ni Cl
1 1 2 8
Cartesian
0.000 0.000 0.000
0.000 0.000 4.394
0.000 3.686 6.511
3.192 1.843 2.276
-0.894 1.732 6.056
-1.245 5.438 6.056
1.053 1.641 2.732
0.000 3.686 8.730
3.192 1.843 0.057
2.139 3.888 6.056
4.437 0.091 2.732
4.087 3.797 2.732


Copy entry 1 word for word.
BaNaLiCl4 | the Alexandria database | GGA-PBE | optimized geometry; formation energy without anion corrections = -199 kJ per mole of atoms; calculated volume = 382.6 Å³ per cell; E = -3.85 eV per atom
1.0
6.826 0.000 0.000
0.000 7.031 0.000
-2.430 0.000 7.973
Ba Na Li Cl
2 2 2 8
Cartesian
1.529 1.758 0.500
2.867 5.273 7.473
0.124 1.758 4.407
4.272 5.273 3.566
0.883 5.273 2.592
3.514 1.758 5.381
5.014 0.023 5.945
5.014 3.493 5.945
-0.618 3.538 2.027
-0.618 7.009 2.027
2.629 5.273 1.018
1.745 5.273 4.703
2.651 1.758 3.269
1.767 1.758 6.955